1.
Material: NbAgS3
Method: DFT, GGA-PBE
State: relaxed

a b c (Å): 6.3639 6.3639 18.1996
angles (deg): 90.00 90.00 120.00
Space group R-3 (No. 148, hexagonal axes)
Symmetry-distinct sites (fractional):
Nb  0.0000  0.0000  0.1828 (multiplicity 6)
Ag  0.0000  0.0000  0.3593 (multiplicity 6)
S  0.0072  0.6417  0.5774 (multiplicity 18)

Computed properties:
calculated volume = 21.28 Å³ per atom
energy = -5.623 eV per atom

---

2.
Material: NbAg3S4
Method: DFT, GGA-PBE
State: relaxed

a b c (Å): 7.9799 7.0186 6.8327
angles (deg): 90.00 90.00 90.00
Space group Pmn2_1 (No. 31)
Symmetry-distinct sites (fractional):
Nb  0.0000  0.1759  0.0000 (multiplicity 2)
Ag  0.0000  0.8484  0.4869 (multiplicity 2)
Ag  0.2482  0.6738  0.9816 (multiplicity 4)
S  0.0000  0.1756  0.6634 (multiplicity 2)
S  0.0000  0.8663  0.1156 (multiplicity 2)
S  0.2389  0.3307  0.1115 (multiplicity 4)

Computed properties:
calculated volume = 23.92 Å³ per atom
energy = -4.816 eV per atom

---

3.
Material: NbAg2S
Method: DFT, GGA-PBE
State: relaxed

a b c (Å): 7.7001 7.7001 5.0169
angles (deg): 90.00 90.00 90.00
Space group I-42d (No. 122)
Symmetry-distinct sites (fractional):
Nb  0.0000  0.0000  0.0000 (multiplicity 4)
Ag  0.2103  0.2500  0.6250 (multiplicity 8)
S  0.0000  0.0000  0.5000 (multiplicity 4)

Computed properties:
calculated volume = 18.59 Å³ per atom
Fermi-level density of states = 10.40 states/eV/cell
energy = -4.681 eV per atom

---

4.
Material: Nb4AgS8
Method: DFT, GGA-PBE
State: relaxed

a b c (Å): 11.7313 6.7748 8.9947
angles (deg): 90.00 130.38 90.00
Space group C2/m (No. 12)
Symmetry-distinct sites (fractional):
Nb  0.0000  0.2466  0.0000 (multiplicity 4)
Nb  0.2473  0.0000  0.9969 (multiplicity 4)
Ag  0.0000  0.5000  0.5000 (multiplicity 2)
S  0.0304  0.0000  0.2290 (multiplicity 4)
S  0.0304  0.5000  0.2257 (multiplicity 4)
S  0.2207  0.2477  0.7716 (multiplicity 8)

Computed properties:
excess energy over the best structure of this formula in the dataset = 75 kJ/mol of formula units
calculated volume = 20.95 Å³ per atom
Fermi-level density of states = 12.32 states/eV/cell
energy = -6.749 eV per atom

---

5.
Material: Sc3NbAg3S8
Method: DFT, GGA-PBE
State: relaxed

a b c (Å): 12.8013 7.3890 7.8245
angles (deg): 90.00 123.45 90.00
Space group C2/m (No. 12)
Symmetry-distinct sites (fractional):
Sc  0.0000  0.0000  0.0000 (multiplicity 2)
Sc  0.2500  0.2500  0.0000 (multiplicity 4)
Nb  0.0000  0.5000  0.0000 (multiplicity 2)
Ag  0.0000  0.5000  0.5000 (multiplicity 2)
Ag  0.2500  0.2500  0.5000 (multiplicity 4)
S  0.0071  0.2563  0.7800 (multiplicity 8)
S  0.2366  0.5000  0.2198 (multiplicity 4)
S  0.2425  0.0000  0.2251 (multiplicity 4)

Computed properties:
calculated volume = 20.58 Å³ per atom
Fermi-level density of states = 8.39 states/eV/cell
energy = -5.796 eV per atom

---

6.
Material: SrNbAg2S4
Method: DFT, GGA-PBE
State: relaxed

a b c (Å): 6.7674 7.1739 7.8334
angles (deg): 90.00 90.00 90.00
Space group I222 (No. 23)
Symmetry-distinct sites (fractional):
Sr  0.0000  0.0000  0.0000 (multiplicity 2)
Nb  0.0000  0.0000  0.5000 (multiplicity 2)
Ag  0.0000  0.5000  0.1889 (multiplicity 4)
S  0.1943  0.1952  0.6742 (multiplicity 8)

Computed properties:
calculated volume = 23.77 Å³ per atom
Fermi-level density of states = 6.86 states/eV/cell
energy = -5.039 eV per atom

---

7.
Material: TaNb2Ag2S6
Method: DFT, GGA-PBE
State: relaxed

a b c (Å): 5.8853 10.4760 6.9755
angles (deg): 90.00 94.24 90.00
Space group C2/m (No. 12)
Symmetry-distinct sites (fractional):
Ta  0.0000  0.0000  0.0000 (multiplicity 2)
Nb  0.0000  0.3633  0.0000 (multiplicity 4)
Ag  0.0000  0.3104  0.5000 (multiplicity 4)
S  0.1447  0.1685  0.7912 (multiplicity 8)
S  0.1603  0.5000  0.7563 (multiplicity 4)

Computed properties:
calculated volume = 19.50 Å³ per atom
Fermi-level density of states = 5.48 states/eV/cell
energy = -6.420 eV per atom

---

8.
Material: NbAgTe2S
Method: DFT, GGA-PBE
State: relaxed

a b c (Å): 5.4660 5.4660 4.5499
angles (deg): 90.00 90.00 90.00
Space group P4/mmm (No. 123)
Symmetry-distinct sites (fractional):
Nb  0.0000  0.0000  0.0000 (multiplicity 1)
Ag  0.5000  0.5000  0.0000 (multiplicity 1)
Te  0.0000  0.5000  0.5000 (multiplicity 2)
S  0.0000  0.0000  0.5000 (multiplicity 1)

Computed properties:
calculated volume = 27.19 Å³ per atom
Fermi-level density of states = 5.14 states/eV/cell
energy = -4.032 eV per atom

---

9.
Material: Nb3Ag2TeS6
Method: DFT, GGA-PBE
State: relaxed

a b c (Å): 8.3162 9.9861 5.7804
angles (deg): 90.00 90.00 90.00
Space group Amm2 (No. 38)
Symmetry-distinct sites (fractional):
Nb  0.0000  0.0000  0.0000 (multiplicity 2)
Nb  0.0000  0.1692  0.4912 (multiplicity 4)
Ag  0.5000  0.1738  0.1014 (multiplicity 4)
Te  0.5000  0.0000  0.6697 (multiplicity 2)
S  0.1833  0.0000  0.6625 (multiplicity 4)
S  0.1921  0.1669  0.1600 (multiplicity 8)

Computed properties:
calculated volume = 20.00 Å³ per atom
Fermi-level density of states = 11.46 states/eV/cell
energy = -6.140 eV per atom

---

10.
Material: NbTl3Ag2S6
Method: DFT, GGA-PBE
State: relaxed

a b c (Å): 6.8789 11.6948 7.1959
angles (deg): 90.00 109.62 90.00
Space group C2/m (No. 12)
Symmetry-distinct sites (fractional):
Nb  0.0000  0.0000  0.0000 (multiplicity 2)
Tl  0.0000  0.1617  0.5000 (multiplicity 4)
Tl  0.0000  0.5000  0.5000 (multiplicity 2)
Ag  0.0000  0.3305  0.0000 (multiplicity 4)
S  0.2167  0.1534  0.2096 (multiplicity 8)
S  0.2421  0.0000  0.8023 (multiplicity 4)

Computed properties:
calculated volume = 22.72 Å³ per atom
Fermi-level density of states = 12.02 states/eV/cell
energy = -4.282 eV per atom

---

11.
Material: NbTlAgS2
Method: DFT, GGA-PBE
State: relaxed

a b c (Å): 5.1178 5.1178 5.1354
angles (deg): 90.00 90.00 90.00
Space group P4/mmm (No. 123)
Symmetry-distinct sites (fractional):
Nb  0.0000  0.0000  0.0000 (multiplicity 1)
Tl  0.5000  0.5000  0.5000 (multiplicity 1)
Ag  0.5000  0.5000  0.0000 (multiplicity 1)
S  0.0000  0.5000  0.5000 (multiplicity 2)

Computed properties:
excess energy over the best structure of this formula in the dataset = 0 kJ/mol of formula units
calculated volume = 26.90 Å³ per atom
Fermi-level density of states = 3.05 states/eV/cell
energy = -3.490 eV per atom

---

12.
Material: NbTl2AgS4
Method: DFT, GGA-PBE
State: relaxed

a b c (Å): 7.5314 7.5314 8.0272
angles (deg): 90.00 90.00 90.00
Space group I-4 (No. 82)
Symmetry-distinct sites (fractional):
Nb  0.0000  0.0000  0.0000 (multiplicity 2)
Tl  0.0000  0.0000  0.5000 (multiplicity 2)
Tl  0.0000  0.5000  0.7500 (multiplicity 2)
Ag  0.0000  0.5000  0.2500 (multiplicity 2)
S  0.1471  0.7968  0.1637 (multiplicity 8)

Computed properties:
calculated volume = 28.46 Å³ per atom
energy = -4.812 eV per atom